# 1
Material: Li3Cu6As5
Method: DFT, PBE-GGA
State: relaxed

Computed properties:
energy of formation	-0.1995	eV per atom
total moment	0.0	μB per formula unit

a = 3.878 Å, b = 11.809 Å, c = 9.663 Å
α = 90.00°, β = 90.00°, γ = 90.00°
Element x y z (fractional)
Li  0.250  0.069  0.229
Li  0.250  0.431  0.229
Li  0.250  0.750  0.241
Li  0.750  0.250  0.759
Li  0.750  0.569  0.771
Li  0.750  0.931  0.771
Cu  0.250  0.082  0.611
Cu  0.250  0.250  0.017
Cu  0.250  0.250  0.451
Cu  0.250  0.418  0.611
Cu  0.250  0.586  0.990
Cu  0.250  0.914  0.990
Cu  0.750  0.086  0.010
Cu  0.750  0.414  0.010
Cu  0.750  0.582  0.389
Cu  0.750  0.750  0.549
Cu  0.750  0.750  0.983
Cu  0.750  0.918  0.389
As  0.250  0.090  0.854
As  0.250  0.410  0.854
As  0.250  0.619  0.546
As  0.250  0.750  0.820
As  0.250  0.881  0.546
As  0.750  0.119  0.454
As  0.750  0.250  0.180
As  0.750  0.381  0.454
As  0.750  0.590  0.146
As  0.750  0.910  0.146

=====

# 2
Material: Li2CuAs
Method: DFT, PBE-GGA
State: relaxed

Computed properties:
energy of formation	-0.0786	eV per atom
total moment	0.0	μB per formula unit

a = 8.413 Å, b = 8.413 Å, c = 8.413 Å
α = 20.18°, β = 20.18°, γ = 20.18°
Element x y z (fractional)
Li  0.248  0.248  0.248
Li  0.752  0.752  0.752
Cu  0.000  0.000  0.000
As  0.500  0.500  0.500

=====

Repeat the first record exactly.
Material: Li3Cu6As5
Method: DFT, PBE-GGA
State: relaxed

Computed properties:
energy of formation	-0.1995	eV per atom
total moment	0.0	μB per formula unit

a = 3.878 Å, b = 11.809 Å, c = 9.663 Å
α = 90.00°, β = 90.00°, γ = 90.00°
Element x y z (fractional)
Li  0.250  0.069  0.229
Li  0.250  0.431  0.229
Li  0.250  0.750  0.241
Li  0.750  0.250  0.759
Li  0.750  0.569  0.771
Li  0.750  0.931  0.771
Cu  0.250  0.082  0.611
Cu  0.250  0.250  0.017
Cu  0.250  0.250  0.451
Cu  0.250  0.418  0.611
Cu  0.250  0.586  0.990
Cu  0.250  0.914  0.990
Cu  0.750  0.086  0.010
Cu  0.750  0.414  0.010
Cu  0.750  0.582  0.389
Cu  0.750  0.750  0.549
Cu  0.750  0.750  0.983
Cu  0.750  0.918  0.389
As  0.250  0.090  0.854
As  0.250  0.410  0.854
As  0.250  0.619  0.546
As  0.250  0.750  0.820
As  0.250  0.881  0.546
As  0.750  0.119  0.454
As  0.750  0.250  0.180
As  0.750  0.381  0.454
As  0.750  0.590  0.146
As  0.750  0.910  0.146